{
  "formula": "NaLiPd2N",
  "functional": "PBE-GGA",
  "state": "optimized geometry",
  "lattice_angstrom": [[4.1726, 0.0000, 0.0000], [0.0000, 4.1726, 0.0000], [0.0000, 0.0000, 4.1461]],
  "species": ["Li", "N", "Na", "Pd", "Pd"],
  "frac_coords": [[0.0000, 0.0000, 0.5000], [0.0000, 0.0000, 0.0000], [0.5000, 0.5000, 0.5000], [0.0000, 0.5000, 0.0000], [0.5000, 0.0000, 0.0000]],
  "mass_density_g_cm3": 5.91,
  "energy_ev_per_atom": -4.496,
  "e_form_raw_ev_per_atom": -0.108
}

---

{
  "formula": "NaLiReN2",
  "functional": "PBE-GGA",
  "state": "optimized geometry",
  "lattice_angstrom": [[5.4342, 0.0000, 0.0000], [-2.7171, 5.7603, 0.0000], [0.0000, 0.0000, 5.0679]],
  "species": ["N", "N", "N", "N", "Li", "Li", "Na", "Na", "Re", "Re"],
  "frac_coords": [[0.4041, 0.8082, 0.8191], [0.0959, 0.1918, 0.8191], [0.9041, 0.8082, 0.1809], [0.5959, 0.1918, 0.1809], [0.5000, 0.0000, 0.5000], [0.0000, 0.0000, 0.5000], [0.2500, 0.5000, 0.1856], [0.7500, 0.5000, 0.8144], [0.2500, 0.0000, 0.0000], [0.7500, 0.0000, 0.0000]],
  "mass_density_g_cm3": 5.11,
  "energy_ev_per_atom": -6.566,
  "e_form_raw_ev_per_atom": -0.100
}

---

{
  "formula": "NaLi2Re3N6",
  "functional": "PBE-GGA",
  "state": "optimized geometry",
  "lattice_angstrom": [[-2.3511, -1.3935, 1.0509], [-2.4170, -0.5063, -6.0785], [5.0969, -4.7355, 1.0441]],
  "species": ["Re", "Re", "Re", "Li", "Li", "N", "N", "N", "N", "N", "N", "Na"],
  "frac_coords": [[0.8421, 0.1978, 0.6842], [0.5000, 0.5000, 0.0000], [0.1579, 0.8022, 0.3158], [0.8305, 0.6639, 0.6610], [0.1695, 0.3361, 0.3390], [0.3198, 0.9554, 0.6395], [0.6671, 0.5878, 0.3343], [0.6802, 0.0446, 0.3605], [0.0031, 0.7326, 0.0063], [0.9969, 0.2674, 0.9937], [0.3329, 0.4122, 0.6657], [0.5000, 0.0000, 0.0000]],
  "mass_density_g_cm3": 9.15,
  "energy_ev_per_atom": -7.869,
  "e_form_raw_ev_per_atom": -0.166
}